Computed, not measured: a relaxed NdDyCu2P4 crystal at the PBE level of DFT.

Lattice parameters (Å, degrees): 3.762 3.762 9.891 90.00 90.00 90.00
Fractional coordinates of all 8 atoms:
Nd 0.000 0.000 0.000
Dy 0.500 0.500 0.535
Cu 0.000 0.500 0.274
Cu 0.500 0.000 0.274
P 0.000 0.000 0.426
P 0.000 0.500 0.762
P 0.500 0.000 0.762
P 0.500 0.500 0.124

Computed properties:
Energy (eV/atom): -5.6621


Computed, not measured: a relaxed BeZnCoGe crystal at the PBE level of DFT.

Lattice parameters (Å, degrees): 4.058 4.058 4.058 60.00 60.00 60.00
Fractional coordinates of all 4 atoms:
Be 0.000 0.000 0.000
Zn 0.750 0.750 0.750
Co 0.500 0.500 0.500
Ge 0.250 0.250 0.250

Computed properties:
E above lowest polymorph (kcal/mol of atoms): 0.00
Energy (eV/atom): -4.0449


Computed, not measured: a relaxed TmGa2SeS3 crystal at the PBE level of DFT.

Lattice parameters (Å, degrees): 6.028 6.131 6.665 115.90 116.67 90.60
Fractional coordinates of all 7 atoms:
Tm 0.000 0.000 0.000
Ga 0.228 0.743 0.483
Ga 0.481 0.499 0.985
Se 0.583 0.107 0.702
S 0.127 0.632 0.727
S 0.353 0.413 0.256
S 0.874 0.849 0.250

Computed properties:
Energy (eV/atom): -4.6499


Computed, not measured: a relaxed LaCuSn3 crystal at the PBE level of DFT.

Lattice parameters (Å, degrees): 12.218 12.218 4.590 90.00 90.00 157.97
Fractional coordinates of all 10 atoms:
La 0.168 0.832 0.000
La 0.832 0.168 0.000
Cu 0.388 0.612 0.500
Cu 0.612 0.388 0.500
Sn 0.060 0.940 0.500
Sn 0.283 0.717 0.500
Sn 0.440 0.560 0.000
Sn 0.560 0.440 0.000
Sn 0.717 0.283 0.500
Sn 0.940 0.060 0.500

Computed properties:
Energy (eV/atom): -4.5637


Computed, not measured: a relaxed AlCdGaTe2S2 crystal at the PBE level of DFT.

Lattice parameters (Å, degrees): 5.898 5.998 6.829 113.90 114.37 90.45
Fractional coordinates of all 7 atoms:
Al 0.000 0.000 0.000
Cd 0.506 0.449 0.010
Ga 0.782 0.215 0.503
Te 0.367 0.868 0.288
Te 0.619 0.606 0.716
S 0.105 0.088 0.749
S 0.899 0.318 0.257

Computed properties:
E above lowest polymorph (kcal/mol of atoms): 0.06
Energy (eV/atom): -3.7693


Computed, not measured: a relaxed TaGaBr7 crystal at the PBE level of DFT.

Lattice parameters (Å, degrees): 7.421 6.458 15.829 90.00 100.23 90.00
Fractional coordinates of all 18 atoms:
Ta 0.000 0.078 0.000
Ta 0.000 0.922 0.500
Ga 0.247 0.492 0.139
Ga 0.247 0.508 0.639
Br 0.118 0.136 0.395
Br 0.118 0.864 0.895
Br 0.229 0.129 0.630
Br 0.229 0.871 0.130
Br 0.300 0.333 0.006
Br 0.300 0.667 0.506
Br 0.458 0.384 0.256
Br 0.458 0.616 0.756
Br 0.742 0.134 0.527
Br 0.742 0.866 0.027
Br 0.822 0.317 0.898
Br 0.822 0.683 0.398
Br 0.945 0.333 0.133
Br 0.945 0.667 0.633

Computed properties:
Energy (eV/atom): -3.7383


Computed, not measured: a relaxed PrGa3Ir crystal at the PBE level of DFT.

Lattice parameters (Å, degrees): 6.112 6.112 6.112 138.34 138.34 60.39
Fractional coordinates of all 5 atoms:
Pr 0.000 0.000 0.000
Ga 0.255 0.755 0.500
Ga 0.409 0.409 0.000
Ga 0.755 0.255 0.500
Ir 0.639 0.639 0.000

Computed properties:
Energy (eV/atom): -5.1807


Computed, not measured: a relaxed SrLuSb crystal at the PBE level of DFT.

Lattice parameters (Å, degrees): 5.348 5.348 5.348 60.00 60.00 60.00
Fractional coordinates of all 3 atoms:
Sr 0.000 0.000 0.000
Lu 0.750 0.750 0.750
Sb 0.500 0.500 0.500

Computed properties:
Energy (eV/atom): -3.4334


Computed, not measured: a relaxed GdMgZn crystal at the PBE level of DFT.

Lattice parameters (Å, degrees): 3.476 3.476 13.809 90.00 90.00 120.00
Fractional coordinates of all 6 atoms:
Gd 0.000 0.000 0.000
Gd 0.333 0.667 0.207
Mg 0.000 0.000 0.403
Mg 0.667 0.333 0.804
Zn 0.000 0.000 0.661
Zn 0.333 0.667 0.545

Computed properties:
Energy (eV/atom): -2.4419


Computed, not measured: a relaxed LaY2Co2B2N3 crystal at the PBE level of DFT.

Lattice parameters (Å, degrees): 10.455 10.455 10.455 160.48 160.48 27.75
Fractional coordinates of all 10 atoms:
La 0.000 0.000 0.000
Y 0.371 0.371 0.000
Y 0.629 0.629 0.000
Co 0.250 0.750 0.500
Co 0.750 0.250 0.500
B 0.197 0.197 0.000
B 0.803 0.803 0.000
N 0.123 0.123 0.000
N 0.500 0.500 0.000
N 0.877 0.877 0.000

Computed properties:
Energy (eV/atom): -8.1425


Computed, not measured: a relaxed NaPrCdSe3 crystal at the PBE level of DFT.

Lattice parameters (Å, degrees): 9.327 9.327 9.025 105.68 105.68 26.40
Fractional coordinates of all 12 atoms:
Na 0.124 0.124 0.075
Na 0.876 0.876 0.925
Pr 0.178 0.178 0.611
Pr 0.822 0.822 0.389
Cd 0.485 0.485 0.282
Cd 0.515 0.515 0.718
Se 0.000 0.000 0.500
Se 0.328 0.328 0.168
Se 0.341 0.341 0.633
Se 0.500 0.500 0.000
Se 0.659 0.659 0.367
Se 0.672 0.672 0.832

Computed properties:
E above lowest polymorph (kcal/mol of atoms): 1.37
Energy (eV/atom): -4.1048


Computed, not measured: a relaxed Y3SiNi4 crystal at the PBE level of DFT.

Lattice parameters (Å, degrees): 5.202 4.120 6.642 90.00 96.27 90.00
Fractional coordinates of all 8 atoms:
Y 0.000 0.000 0.000
Y 0.185 0.000 0.487
Y 0.689 0.500 0.620
Si 0.445 0.500 0.150
Ni 0.232 0.500 0.805
Ni 0.484 0.000 0.906
Ni 0.621 0.000 0.283
Ni 0.912 0.500 0.258

Computed properties:
Energy (eV/atom): -6.3205


Computed, not measured: a relaxed Pu2InS4Br crystal at the PBE level of DFT.

Lattice parameters (Å, degrees): 6.588 6.588 9.261 116.71 116.71 34.54
Fractional coordinates of all 8 atoms:
Pu 0.187 0.187 0.262
Pu 0.813 0.813 0.738
In 0.000 0.000 0.500
S 0.178 0.178 0.781
S 0.379 0.379 0.577
S 0.621 0.621 0.423
S 0.822 0.822 0.219
Br 0.500 0.500 0.000

Computed properties:
Energy (eV/atom): -7.3938


Computed, not measured: a relaxed LaAgNO crystal at the PBE level of DFT.

Lattice parameters (Å, degrees): 4.019 6.180 5.458 90.00 90.00 90.00
Fractional coordinates of all 8 atoms:
La 0.000 0.225 0.000
La 0.000 0.775 0.500
Ag 0.500 0.258 0.493
Ag 0.500 0.742 0.993
N 0.000 0.163 0.478
N 0.000 0.837 0.978
O 0.500 0.376 0.909
O 0.500 0.624 0.409

Computed properties:
E above lowest polymorph (kcal/mol of atoms): 2.11
Energy (eV/atom): -6.1886


Computed, not measured: a relaxed PrGa2Pd2 crystal at the PBE level of DFT.

Lattice parameters (Å, degrees): 6.117 6.117 6.117 138.91 138.91 59.51
Fractional coordinates of all 5 atoms:
Pr 0.000 0.000 0.000
Ga 0.377 0.377 0.000
Ga 0.623 0.623 0.000
Pd 0.250 0.750 0.500
Pd 0.750 0.250 0.500

Computed properties:
Energy (eV/atom): -5.0186


Computed, not measured: a relaxed Ag2SnHgTe2Se2 crystal at the PBE level of DFT.

Lattice parameters (Å, degrees): 7.788 7.744 6.344 66.25 65.54 48.21
Fractional coordinates of all 8 atoms:
Ag 0.000 0.000 0.500
Ag 0.500 0.500 0.000
Sn 0.231 0.231 0.769
Hg 0.737 0.737 0.263
Te 0.124 0.612 0.388
Te 0.612 0.124 0.876
Se 0.351 0.871 0.649
Se 0.871 0.351 0.129

Computed properties:
E above lowest polymorph (kcal/mol of atoms): 0.12
Energy (eV/atom): -3.0958


Computed, not measured: a relaxed FeCl3 crystal at the PBE level of DFT.

Lattice parameters (Å, degrees): 5.755 5.755 8.192 90.00 90.00 120.00
Fractional coordinates of all 12 atoms:
Fe 0.000 0.000 0.000
Fe 0.333 0.667 0.651
Fe 0.667 0.333 0.348
Cl 0.000 0.341 0.499
Cl 0.021 0.679 0.814
Cl 0.321 0.342 0.814
Cl 0.341 0.000 0.499
Cl 0.343 0.322 0.184
Cl 0.658 0.979 0.814
Cl 0.659 0.659 0.499
Cl 0.678 0.021 0.184
Cl 0.979 0.657 0.184

Computed properties:
Energy (eV/atom): -3.9378


Computed, not measured: a relaxed Nd2GdZn3CdIn2 crystal at the PBE level of DFT.

Lattice parameters (Å, degrees): 4.645 7.307 7.307 119.46 90.00 90.00
Fractional coordinates of all 9 atoms:
Nd 0.000 0.211 0.789
Nd 0.000 0.789 0.211
Gd 0.000 0.364 0.364
Zn 0.500 0.021 0.021
Zn 0.500 0.553 0.787
Zn 0.500 0.787 0.553
Cd 0.000 0.781 0.781
In 0.500 0.125 0.453
In 0.500 0.453 0.125

Computed properties:
Energy (eV/atom): -3.0701


Computed, not measured: a relaxed ReC crystal at the PBE level of DFT.

Lattice parameters (Å, degrees): 3.286 3.286 3.286 60.00 60.00 60.00
Fractional coordinates of all 2 atoms:
Re 0.000 0.000 0.000
C 0.250 0.250 0.250

Computed properties:
E above lowest polymorph (kcal/mol of atoms): 12.15
Energy (eV/atom): -10.0468


Computed, not measured: a relaxed ZnTc2Sb crystal at the PBE level of DFT.

Lattice parameters (Å, degrees): 4.514 4.514 4.514 60.00 60.00 60.00
Fractional coordinates of all 4 atoms:
Zn 0.000 0.000 0.000
Tc 0.250 0.250 0.250
Tc 0.500 0.500 0.500
Sb 0.750 0.750 0.750

Computed properties:
Energy (eV/atom): -6.1492


Computed, not measured: a relaxed NbTlCuPd crystal at the PBE level of DFT.

Lattice parameters (Å, degrees): 4.587 4.587 4.587 60.00 60.00 60.00
Fractional coordinates of all 4 atoms:
Nb 0.000 0.000 0.000
Tl 0.500 0.500 0.500
Cu 0.750 0.750 0.750
Pd 0.250 0.250 0.250

Computed properties:
E above lowest polymorph (kcal/mol of atoms): 0.00
Energy (eV/atom): -5.2111


Computed, not measured: a relaxed MgBeNiAs crystal at the PBE level of DFT.

Lattice parameters (Å, degrees): 4.292 4.292 4.292 60.00 60.00 60.00
Fractional coordinates of all 4 atoms:
Mg 0.000 0.000 0.000
Be 0.500 0.500 0.500
Ni 0.750 0.750 0.750
As 0.250 0.250 0.250

Computed properties:
E above lowest polymorph (kcal/mol of atoms): 0.30
Energy (eV/atom): -3.7544


Computed, not measured: a relaxed NaRe2 crystal at the PBE level of DFT.

Lattice parameters (Å, degrees): 5.288 5.288 5.288 60.00 60.00 60.00
Fractional coordinates of all 6 atoms:
Na 0.125 0.125 0.125
Na 0.875 0.875 0.875
Re 0.000 0.500 0.500
Re 0.500 0.000 0.500
Re 0.500 0.500 0.000
Re 0.500 0.500 0.500

Computed properties:
Energy (eV/atom): -7.8910


Computed, not measured: a relaxed LaHfCuPd crystal at the PBE level of DFT.

Lattice parameters (Å, degrees): 4.914 4.914 4.914 60.00 60.00 60.00
Fractional coordinates of all 4 atoms:
La 0.000 0.000 0.000
Hf 0.500 0.500 0.500
Cu 0.750 0.750 0.750
Pd 0.250 0.250 0.250

Computed properties:
E above lowest polymorph (kcal/mol of atoms): 0.00
Energy (eV/atom): -6.1700
ΔE_f (eV per atom): -0.227


Computed, not measured: a relaxed TmHfNi2As2 crystal at the PBE level of DFT.

Lattice parameters (Å, degrees): 3.977 3.977 14.642 90.00 90.00 120.00
Fractional coordinates of all 12 atoms:
Tm 0.000 0.000 0.000
Tm 0.000 0.000 0.500
Hf 0.000 0.000 0.250
Hf 0.000 0.000 0.750
Ni 0.333 0.667 0.156
Ni 0.333 0.667 0.344
Ni 0.667 0.333 0.656
Ni 0.667 0.333 0.844
As 0.333 0.667 0.620
As 0.333 0.667 0.880
As 0.667 0.333 0.120
As 0.667 0.333 0.380

Computed properties:
E above lowest polymorph (kcal/mol of atoms): 0.00
Energy (eV/atom): -6.7927


Computed, not measured: a relaxed NaSmNi crystal at the PBE level of DFT.

Lattice parameters (Å, degrees): 4.767 4.767 4.767 60.00 60.00 60.00
Fractional coordinates of all 3 atoms:
Na 0.000 0.000 0.000
Sm 0.250 0.250 0.250
Ni 0.500 0.500 0.500

Computed properties:
E above lowest polymorph (kcal/mol of atoms): 0.00
Energy (eV/atom): -3.2660